## Mg3Hg (PBEsol)

Data for a geometry-optimized Mg3Hg structure.

Lattice parameters (Å, degrees): 9.9558 9.9558 9.9558 48.95 48.95 48.95
Fractional coordinates of all 24 atoms:
Mg 0.0252 0.5316 0.2703
Mg 0.0561 0.0561 0.0561
Mg 0.1708 0.4164 0.7448
Mg 0.1793 0.1793 0.1793
Mg 0.2552 0.5836 0.8292
Mg 0.2703 0.0252 0.5316
Mg 0.3649 0.3649 0.3649
Mg 0.4164 0.7448 0.1708
Mg 0.4684 0.9748 0.7297
Mg 0.5316 0.2703 0.0252
Mg 0.5836 0.8292 0.2552
Mg 0.6351 0.6351 0.6351
Mg 0.7297 0.4684 0.9748
Mg 0.7448 0.1708 0.4164
Mg 0.8207 0.8207 0.8207
Mg 0.8292 0.2552 0.5836
Mg 0.9439 0.9439 0.9439
Mg 0.9748 0.7297 0.4684
Hg 0.0000 0.3199 0.6801
Hg 0.1696 0.8304 0.5000
Hg 0.3199 0.6801 0.0000
Hg 0.5000 0.1696 0.8304
Hg 0.6801 0.0000 0.3199
Hg 0.8304 0.5000 0.1696

Values from the calculation:
Calculated total energy in eV per atom: -1.599